A plane-wave DFT calculation with GGA-PBE was carried out for Ni2AgHg after structural relaxation.

Properties
Energy relative to the elements: 0.2011 eV/atom
Calculated volume: 15.32 Å³ per atom
Calculated total energy: -3.478 eV/atom
Spin magnetization: 0.9 μB/f.u.

abc: 2.9635 2.9663 6.9717
angles: 90.00 90.00 90.00
Positions (direct):
Ni 0.0000 0.0000 0.0426
Ni 0.5000 0.5000 0.2142
Ag 0.0000 0.0000 0.4617
Hg 0.5000 0.5000 0.7815


A plane-wave DFT calculation with GGA-PBE was carried out for CaPb2Se after structural relaxation.

Properties
Uncorrected formation energy: -0.68 eV per atom
Calculated volume: 30.74 Å³ per atom
Calculated total energy: -3.907 eV/atom
Spin magnetization: 0.0 μB/f.u.

abc: 3.7996 3.7996 8.5162
angles: 90.00 90.00 90.00
Positions (direct):
Pb 0.5000 0.5000 0.2530
Pb 0.0000 0.0000 0.0057
Se 0.0000 0.0000 0.5642
Ca 0.5000 0.5000 0.6770


A plane-wave DFT calculation with GGA-PBE was carried out for SiAs2RhSe after structural relaxation.

Properties
Uncorrected formation energy: 0.82 eV per atom
Calculated volume: 20.20 Å³ per atom
Calculated total energy: -4.294 eV/atom
Spin magnetization: 0.0 μB/f.u.

abc: 4.6475 4.6475 4.6766
angles: 90.00 90.00 90.00
Positions (direct):
Se 0.0000 0.0000 0.5000
Si 0.0000 0.0000 0.0000
Rh 0.5000 0.5000 0.5000
As 0.0000 0.5000 0.0000
As 0.5000 0.0000 0.0000


A plane-wave DFT calculation with GGA-PBE was carried out for Ac2TiCoS6 after structural relaxation.

Properties
Uncorrected formation energy: -1.41 eV per atom
Calculated volume: 20.36 Å³ per atom
Calculated total energy: -6.204 eV/atom
Spin magnetization: 0.3 μB/f.u.

abc: 6.5883 6.5893 9.3778
angles: 90.00 90.00 90.00
Positions (direct):
S 0.5000 0.2501 0.7557
S 0.7564 0.5066 0.5000
S 0.0000 0.7499 0.2557
S 0.2564 0.4934 0.0000
S 0.2566 0.0062 0.0000
Ac 0.5000 0.7500 0.2501
S 0.7434 0.0062 0.0000
S 0.0000 0.7499 0.7443
S 0.2436 0.5066 0.5000
Ac 0.0000 0.2500 0.2499
Co 0.5000 0.2499 0.0000
S 0.7566 0.9938 0.5000
Ac 0.0000 0.2500 0.7501
Co 0.0000 0.7501 0.5000
Ti 0.0000 0.7499 0.0000
Ac 0.5000 0.7500 0.7499
S 0.5000 0.2501 0.2443
Ti 0.5000 0.2501 0.5000
S 0.2434 0.9938 0.5000
S 0.7436 0.4934 0.0000


A plane-wave DFT calculation with GGA-PBE was carried out for NaGeSeBr2 after structural relaxation.

Properties
Uncorrected formation energy: -0.53 eV per atom
Calculated volume: 30.18 Å³ per atom
Calculated total energy: -3.080 eV/atom
Spin magnetization: 0.0 μB/f.u.

abc: 5.4659 5.4659 5.0501
angles: 90.00 90.00 90.00
Positions (direct):
Ge 0.0000 0.0000 0.0000
Br 0.5000 0.0000 0.0000
Se 0.0000 0.0000 0.5000
Na 0.5000 0.5000 0.5000
Br 0.0000 0.5000 0.0000


A plane-wave DFT calculation with GGA-PBE was carried out for TeAsW2 after structural relaxation.

Properties
Uncorrected formation energy: 0.78 eV per atom
Calculated volume: 17.84 Å³ per atom
Calculated total energy: -7.647 eV/atom
Spin magnetization: 0.0 μB/f.u.

abc: 4.9499 4.9499 4.9499
angles: 128.99 128.99 75.02
Positions (direct):
Te 0.7500 0.2500 0.5000
W 0.2500 0.7500 0.5000
As 0.5000 0.5000 0.0000
W 0.0000 0.0000 0.0000


A plane-wave DFT calculation with GGA-PBE was carried out for Rb2RuAuBr6 after structural relaxation.

Properties
Uncorrected formation energy: -0.73 eV per atom
Calculated volume: 31.11 Å³ per atom
Calculated total energy: -3.186 eV/atom
Spin magnetization: 1.2 μB/f.u.

abc: 7.6264 7.6264 7.5953
angles: 59.86 59.86 90.00
Positions (direct):
Au 0.0000 0.0000 0.0000
Br 0.7374 0.2626 0.0000
Br 0.7374 0.7374 0.0000
Rb 0.7500 0.2500 0.5000
Br 0.2626 0.2626 0.0000
Br 0.7399 0.7399 0.5202
Rb 0.2500 0.7500 0.5000
Ru 0.5000 0.5000 0.0000
Br 0.2626 0.7374 0.0000
Br 0.2601 0.2601 0.4798


A plane-wave DFT calculation with GGA-PBE was carried out for ZrSc after structural relaxation.

Properties
Energy relative to the elements: -0.0033 eV/atom
Calculated volume: 23.68 Å³ per atom
Calculated total energy: -7.443 eV/atom
Spin magnetization: 0.0 μB/f.u.

abc: 3.2641 3.2641 5.1328
angles: 90.00 90.00 60.00
Positions (direct):
Zr 0.6667 0.6667 0.7500
Sc 0.3333 0.3333 0.2500


A plane-wave DFT calculation with GGA-PBE was carried out for YZnHg after structural relaxation.

Properties
Energy relative to the elements: -0.2482 eV/atom
Calculated volume: 24.12 Å³ per atom
Calculated total energy: -2.928 eV/atom
Spin magnetization: 0.0 μB/f.u.

abc: 4.6771 4.6771 4.6771
angles: 60.00 60.00 60.00
Positions (direct):
Y 0.5000 0.5000 0.5000
Zn 0.2500 0.2500 0.2500
Hg 0.0000 0.0000 0.0000


A plane-wave DFT calculation with GGA-PBE was carried out for Sm2GaSi2Ir5 after structural relaxation.

Properties
Uncorrected formation energy: -0.74 eV per atom
Calculated volume: 16.93 Å³ per atom
Calculated total energy: -7.506 eV/atom
Spin magnetization: 0.0 μB/f.u.

abc: 3.5386 9.7815 9.7815
angles: 90.00 90.00 90.00
Positions (direct):
Ga 0.0000 0.0000 0.0000
Sm 0.0000 0.8241 0.6759
Sm 0.0000 0.1759 0.3241
Ir 0.5000 0.7878 0.9339
Ir 0.5000 0.5000 0.0000
Ir 0.5000 0.9339 0.2122
Ir 0.5000 0.0000 0.5000
Sm 0.0000 0.6759 0.1759
Ir 0.5000 0.0661 0.7878
Ir 0.5000 0.2878 0.5661
Ga 0.0000 0.5000 0.5000
Si 0.0000 0.1235 0.6235
Si 0.0000 0.6235 0.8765
Ir 0.5000 0.7122 0.4339
Ir 0.5000 0.2122 0.0661
Si 0.0000 0.8765 0.3765
Ir 0.5000 0.4339 0.2878
Sm 0.0000 0.3241 0.8241
Si 0.0000 0.3765 0.1235
Ir 0.5000 0.5661 0.7122


A plane-wave DFT calculation with GGA-PBE was carried out for NiAuN after structural relaxation.

Properties
Uncorrected formation energy: 0.38 eV per atom
Calculated volume: 13.60 Å³ per atom
Calculated total energy: -5.420 eV/atom
Spin magnetization: 0.1 μB/f.u.

abc: 3.2393 3.2393 8.2847
angles: 91.94 91.94 69.91
Positions (direct):
N 0.3378 0.6622 0.0000
Ni 0.9554 0.9554 0.8306
Au 0.6807 0.6807 0.3772
N 0.6622 0.3378 0.0000
Au 0.3193 0.3193 0.6228
Ni 0.0446 0.0446 0.1694


A plane-wave DFT calculation with GGA-PBE was carried out for U2SeS2 after structural relaxation.

Properties
Uncorrected formation energy: -1.07 eV per atom
Calculated volume: 25.78 Å³ per atom
Calculated total energy: -7.937 eV/atom
Spin magnetization: 6.0 μB/f.u.

abc: 7.0178 7.0178 7.2150
angles: 119.13 119.13 89.95
Positions (direct):
Se 0.7500 0.2500 0.5000
U 0.2125 0.7875 0.0000
U 0.0375 0.9625 0.5000
Se 0.5000 0.5000 0.0000
S 0.0898 0.5898 0.1796
S 0.4102 0.9102 0.8204
U 0.4625 0.5375 0.5000
U 0.7875 0.2125 0.0000
S 0.8398 0.8398 0.6796
S 0.1602 0.1602 0.3204